Entry from Alexandria: a relaxed AlTePb2 crystal (PBE).

Unit cell a=8.5109 b=8.5109 c=8.5109 alpha=133.69 beta=133.69 gamma=67.58
Sites, in units of the cell vectors:
1 Al 0.0000 0.0000 0.0000
2 Al 0.7500 0.2500 0.5000
3 Te 0.2500 0.7500 0.5000
4 Te 0.5000 0.5000 0.0000
5 Pb 0.0883 0.6250 0.9633
6 Pb 0.3750 0.3383 0.4633
7 Pb 0.6617 0.1250 0.0367
8 Pb 0.8750 0.9117 0.5367

Output
Spin magnetization: 0.0 μB per formula unit
Volume: 39.62 Å³/atom
Formation energy without anion corrections: 79.8 kJ/mol of formula units